# 1
A plane-wave DFT calculation with GGA-PBE was carried out for crystalline LaIn3Au at its relaxed geometry.

Geometry as extended XYZ:
```
5
Lattice="-1.832 3.133 -3.886 -4.610 0.523 2.595 1.912 4.264 2.536" Properties=species:S:1:pos:R:3 pbc="T T T"
In 0.956 2.132 1.268
Au 0.000 0.000 0.000
La -2.265 3.960 0.623
In -2.305 0.262 1.298
In -0.916 1.566 -1.943
```

- Polymorph energy (0 for the lowest one): 0.412 eV per atom
- Size of the total moment: 0.0000 μB/atom
- Energy relative to the elements: -0.069 eV per atom

# 2
A plane-wave DFT calculation with GGA-PBE was carried out for crystalline La2In6Au3 at its relaxed geometry.

Geometry as extended XYZ:
```
11
Lattice="-0.701 -2.548 3.651 -4.347 -5.599 -4.743 8.423 -0.889 0.997" Properties=species:S:1:pos:R:3 pbc="T T T"
In 2.204 -1.544 2.128
In -3.481 -4.483 -3.798
Au 4.865 -1.825 2.443
Au 1.202 -3.745 0.399
La 4.167 -2.459 -0.916
La -0.090 -4.029 -2.829
In -1.669 -2.972 0.387
In 0.812 -1.293 -0.746
In 2.489 -5.794 -0.784
In 6.745 -0.712 0.799
Au -3.042 -4.741 -1.111
```

- Size of the total moment: 0.0000 μB/atom
- Energy relative to the elements: -0.470 eV per atom